Record 1
TmSiAsO | PBE-GGA | optimized geometry

Results
total energy = -6.210 eV per atom
total magnetic moment = 0.00 μB/f.u.
V = 133.2 Å³ per cell

The structure in POSCAR format:
```
TmSiAsO
1.0
-1.860 1.429 3.112
4.556 -1.286 3.313
2.296 5.346 -1.082
As O Si Tm
2 2 2 2
Cartesian
2.460 0.898 1.058
4.464 3.329 1.139
4.229 1.838 4.123
1.592 5.580 0.829
5.092 1.343 2.427
2.742 5.003 -0.659
2.634 0.272 3.889
1.642 3.550 1.791
```

Record 2
BaNbSi | PBE-GGA | optimized geometry

Results
total energy = -5.103 eV per atom
total magnetic moment = 2.56 μB/f.u.
V = 87.9 Å³ per cell

The structure in POSCAR format:
```
BaNbSi
1.0
0.000 3.529 3.529
3.529 0.000 3.529
3.529 3.529 0.000
Ba Nb Si
1 1 1
Cartesian
1.764 1.764 1.764
5.293 5.293 5.293
0.000 0.000 0.000
```

Record 3
Pd3AuS5 | PBE-GGA | optimized geometry

Results
total energy = -4.305 eV per atom
V = 197.4 Å³ per cell

The structure in POSCAR format:
```
Pd3AuS5
1.0
6.840 0.000 0.000
-3.420 5.924 0.000
0.000 0.000 4.872
Au Pd S
1 3 5
Cartesian
0.000 0.000 0.000
3.420 0.000 2.436
-1.710 2.962 2.436
1.710 2.962 2.436
3.420 1.975 1.163
0.000 3.949 1.163
0.000 0.000 2.436
3.420 1.975 3.708
0.000 3.949 3.708
```

Record 4
TlAg3SnSe4 | PBE-GGA | optimized geometry

Results
total energy = -3.376 eV per atom
V = 273.3 Å³ per cell

The structure in POSCAR format:
```
TlAg3SnSe4
1.0
6.490 0.000 0.000
0.000 6.490 0.000
0.000 0.000 6.490
Ag Se Sn Tl
3 4 1 1
Cartesian
3.245 0.000 0.000
0.000 3.245 0.000
0.000 0.000 3.245
4.991 1.499 1.499
1.499 4.991 1.499
1.499 1.499 4.991
4.991 4.991 4.991
0.000 0.000 0.000
3.245 3.245 3.245
```

Record 5
NbTeCl9 | PBE-GGA | optimized geometry

Results
total energy = -3.648 eV per atom
total magnetic moment = 0.00 μB/f.u.
V = 1289.1 Å³ per cell

The structure in POSCAR format:
```
NbTeCl9
1.0
10.883 -3.170 0.000
10.883 3.170 0.000
-5.588 0.000 18.685
Cl Nb Te
36 4 4
Cartesian
18.633 -0.735 0.465
12.490 0.651 1.127
6.231 -0.535 1.176
10.889 -2.607 1.747
15.857 -0.748 2.388
9.178 0.278 2.633
2.955 -0.229 3.267
18.768 -0.102 3.832
6.350 0.083 4.419
12.623 0.083 4.924
0.205 -0.102 5.511
16.018 -0.229 6.076
9.795 0.278 6.710
3.116 -0.748 6.955
8.084 -2.607 7.596
12.742 -0.535 8.167
6.483 0.651 8.215
0.340 -0.735 8.878
15.839 0.735 9.808
9.696 -0.651 10.470
3.437 0.535 10.519
8.095 2.607 11.090
13.063 0.748 11.731
6.384 -0.278 11.976
0.161 0.229 12.610
15.974 0.102 13.175
3.556 -0.083 13.762
9.829 -0.083 14.267
-2.589 0.102 14.853
13.224 0.229 15.419
7.001 -0.278 16.052
0.322 0.748 16.297
5.290 2.607 16.939
9.948 0.535 17.510
3.689 -0.651 17.558
-2.454 0.735 18.220
6.994 1.309 2.313
11.978 1.309 7.030
4.200 -1.309 11.656
9.185 -1.309 16.372
11.753 1.918 2.987
7.220 1.918 6.356
8.959 -1.918 12.330
4.426 -1.918 15.699
```

Record 6
Be2GeAu | PBE-GGA | optimized geometry

Results
total energy = -3.324 eV per atom
V = 57.1 Å³ per cell

The structure in POSCAR format:
```
Be2GeAu
1.0
-3.823 -1.945 -0.539
-3.660 2.203 0.667
-2.518 1.073 -3.347
Au Be Ge
1 2 1
Cartesian
-2.500 0.333 -0.805
0.000 0.000 0.000
-7.501 0.998 -2.414
-5.001 0.665 -1.609
```

- What is the V in the fifth record?
  1289.1 Å³ per cell